Entry 1:
Here is an optimized crystal structure of BaAgSb from Alexandria via LeMat-Bulk. Energies are from GGA-PBEsol.

The structure belongs to space group Cm (No. 8); the cell edges are 5.523, 5.525 and 6.425 Å and the angles 90.00°, 115.38° and 90.00°. Symmetry generates all atoms from Ba at (0.000, 0.000, 0.000), Ag at (0.205, 0.500, 0.409) and Sb at (0.294, 0.000, 0.586).

Its raw formation energy is -85.2 kJ/mol of formula units. Its density of states at the Fermi level is 3.25 states/eV/f.u.


Entry 2:
Here is an optimized crystal structure of Ba3AgSb from Alexandria via LeMat-Bulk. Energies are from GGA-PBEsol.

The structure belongs to space group Pm-3m (No. 221); the cell edges are 6.544, 6.544 and 6.544 Å and the angles 90.00°, 90.00° and 90.00°. Symmetry generates all atoms from Ba at (0.000, 0.000, 0.500), Ag at (0.500, 0.500, 0.500) and Sb at (0.000, 0.000, 0.000).

Its raw formation energy is -60.7 kJ/mol of formula units. Its density of states at the Fermi level is 4.89 states/eV/f.u.


Entry 3:
Here is an optimized crystal structure of BaAgSb2 from Alexandria via LeMat-Bulk. Energies are from GGA-PBEsol.

The structure belongs to space group F-43m (No. 216); the cell edges are 7.684, 7.684 and 7.684 Å and the angles 90.00°, 90.00° and 90.00°. Symmetry generates all atoms from Ba at (0.000, 0.000, 0.000), Ag at (0.250, 0.250, 0.750), Sb at (0.000, 0.000, 0.500) and Sb at (0.250, 0.250, 0.250).

Its raw formation energy is -76.4 kJ/mol of formula units. Its density of states at the Fermi level is 2.36 states/eV/f.u.


Entry 4:
Here is an optimized crystal structure of BaAgSb2 from Alexandria via LeMat-Bulk. Energies are from GGA-PBEsol.

The structure belongs to space group P4/mmm (No. 123); the cell edges are 4.812, 4.812 and 4.808 Å and the angles 90.00°, 90.00° and 90.00°. Symmetry generates all atoms from Ba at (0.000, 0.000, 0.000), Ag at (0.500, 0.500, 0.000) and Sb at (0.000, 0.500, 0.500).

Its raw formation energy is -123.5 kJ/mol of formula units. Its density of states at the Fermi level is 2.02 states/eV/f.u.


Entry 5:
Here is an optimized crystal structure of BaAgSb from Alexandria via LeMat-Bulk. Energies are from GGA-PBEsol.

The structure belongs to space group P6_3/mmc (No. 194); the cell edges are 4.8030, 4.8030 and 9.1752 Å and the angles 90.00°, 90.00° and 120.00°. Symmetry generates all atoms from Ba at (0.0000, 0.0000, 0.0000), Ag at (0.3333, 0.6667, 0.2500) and Sb at (0.3333, 0.6667, 0.7500).

Its raw formation energy is -225.0 kJ/mol of formula units. Its density of states at the Fermi level is 0.08 states/eV/f.u.


Entry 6:
Here is an optimized crystal structure of BaAg2Sb from Alexandria via LeMat-Bulk. Energies are from GGA-PBEsol.

The structure belongs to space group R3m (No. 160, hexagonal axes); the cell edges are 4.7222, 4.7222 and 17.2478 Å and the angles 90.00°, 90.00° and 120.00°. Symmetry generates all atoms from Ba at (0.0000, 0.0000, 0.0000), Ag at (0.0000, 0.0000, 0.4975), Ag at (0.0000, 0.0000, 0.7969) and Sb at (0.0000, 0.0000, 0.2060).

Its raw formation energy is -131.5 kJ/mol of formula units. Its density of states at the Fermi level is 3.70 states/eV/f.u.


Entry 7:
Here is an optimized crystal structure of BaAgSb from Alexandria via LeMat-Bulk. Energies are from GGA-PBEsol.

The structure belongs to space group P-6m2 (No. 187); the cell edges are 4.7521, 4.7521 and 4.7280 Å and the angles 90.00°, 90.00° and 120.00°. Symmetry generates all atoms from Ba at (0.0000, 0.0000, 0.0000), Ag at (0.6667, 0.3333, 0.5000) and Sb at (0.3333, 0.6667, 0.5000).

Its raw formation energy is -217.7 kJ/mol of formula units. Its density of states at the Fermi level is 0.29 states/eV/f.u.


Entry 8:
Here is an optimized crystal structure of Ba2ScAg from Alexandria via LeMat-Bulk. Energies are from GGA-PBEsol.

The structure belongs to space group Immm (No. 71); the cell edges are 4.143, 5.524 and 11.366 Å and the angles 90.00°, 90.00° and 90.00°. Symmetry generates all atoms from Ba at (0.000, 0.000, 0.216), Sc at (0.000, 0.500, 0.000) and Ag at (0.000, 0.500, 0.500).

Its formation energy is 260 meV per atom. Its density of states at the Fermi level is 4.38 states/eV/f.u. Its polymorph energy (0 for the lowest one) is 0.67 eV per formula unit.


Entry 9:
Here is an optimized crystal structure of BaSc2Ag from Alexandria via LeMat-Bulk. Energies are from GGA-PBEsol.

The structure belongs to space group P4mm (No. 99); the cell edges are 3.649, 3.649 and 8.223 Å and the angles 90.00°, 90.00° and 90.00°. Symmetry generates all atoms from Ba at (0.000, 0.000, 0.000), Sc at (0.000, 0.000, 0.561), Sc at (0.500, 0.500, 0.342) and Ag at (0.500, 0.500, 0.719).

Its formation energy is 33 meV per atom. Its density of states at the Fermi level is 4.63 states/eV/f.u. Its polymorph energy (0 for the lowest one) is 0.00 eV per formula unit.


Entry 10:
Here is an optimized crystal structure of Ba2ScAg from Alexandria via LeMat-Bulk. Energies are from GGA-PBEsol.

The structure belongs to space group R3m (No. 160, hexagonal axes); the cell edges are 4.6576, 4.6576 and 26.0184 Å and the angles 90.00°, 90.00° and 120.00°. Symmetry generates all atoms from Ba at (0.0000, 0.0000, 0.0000), Ba at (0.0000, 0.0000, 0.1921), Sc at (0.0000, 0.0000, 0.4286) and Ag at (0.0000, 0.0000, 0.7636).

Its formation energy is 91 meV per atom. Its density of states at the Fermi level is 6.47 states/eV/f.u. Its polymorph energy (0 for the lowest one) is 0.00 eV per formula unit.


Entry 11:
Here is an optimized crystal structure of Ba2ScAg2 from Alexandria via LeMat-Bulk. Energies are from GGA-PBEsol.

The structure belongs to space group I4/mmm (No. 139); the cell edges are 5.014, 5.014 and 13.261 Å and the angles 90.00°, 90.00° and 90.00°. Symmetry generates all atoms from Ba at (0.000, 0.500, 0.250), Sc at (0.000, 0.000, 0.000) and Ag at (0.000, 0.000, 0.404).

Its formation energy is 398 meV per atom. Its density of states at the Fermi level is 7.16 states/eV/f.u.


Entry 12:
Here is an optimized crystal structure of BaSc2Ag from Alexandria via LeMat-Bulk. Energies are from GGA-PBEsol.

The structure belongs to space group Cmmm (No. 65); the cell edges are 6.875, 7.742 and 3.688 Å and the angles 90.00°, 90.00° and 90.00°. Symmetry generates all atoms from Ba at (0.000, 0.000, 0.000), Sc at (0.250, 0.250, 0.500) and Ag at (0.000, 0.500, 0.000).

Its formation energy is 331 meV per atom. Its density of states at the Fermi level is 4.53 states/eV/f.u. Its polymorph energy (0 for the lowest one) is 1.19 eV per formula unit.


What did we get for final energy? Answer: -10.9 -14.9 -15.4 -15.9 -12.3 -14.7 -12.3 -13.2 -18.5 -13.9 -15.5 -17.3 eV per formula unit, in the order shown.